The following is a GGA-PBE calculation of RuPb2O6 after structural relaxation, from Alexandria.

Calculated values
Excess energy over the best structure of this formula in the dataset ... 0.23 eV/f.u.
Calculated volume ... 248.05 Å³/cell
Uncorrected energy ... -6.036 eV per atom
Total moment ... 0.2203 μB per atom
Formation energy from raw total energies ... -7.881 eV/f.u.
N(E_F) ... 5.06 states/eV/cell

```
data_RuPb2O6
_symmetry_space_group_name_H-M 'P 42/m n m'
_symmetry_Int_Tables_number 136
_symmetry_space_group_name_Hall '-P 4n 2n'
_cell_length_a 4.9605
_cell_length_b 4.9605
_cell_length_c 10.0804
_cell_angle_alpha 90.00
_cell_angle_beta 90.00
_cell_angle_gamma 90.00
loop_
_atom_site_label
_atom_site_type_symbol
_atom_site_fract_x
_atom_site_fract_y
_atom_site_fract_z
Ru1 Ru 0.0000 0.0000 0.0000
Pb1 Pb 0.0000 0.0000 0.3341
O1 O 0.1812 0.1812 0.1498
O2 O 0.2146 0.2146 0.5000
```

***

The following is a GGA-PBE calculation of TbDy3Ru3 after structural relaxation, from Alexandria.

Calculated values
Energy relative to the elements ... -358 meV per atom
Excess energy over the best structure of this formula in the dataset ... 0.00 eV/f.u.
Calculated volume ... 460.19 Å³/cell
Uncorrected energy ... -6.967 eV per atom
Total moment ... 0.0000 μB per atom
N(E_F) ... 8.42 states/eV/cell

```
data_TbDy3Ru3
_symmetry_space_group_name_H-M 'R 3 m'
_symmetry_Int_Tables_number 160
_symmetry_space_group_name_Hall 'R 3 -2"'
_cell_length_a 9.5404
_cell_length_b 9.5404
_cell_length_c 5.8381
_cell_angle_alpha 90.00
_cell_angle_beta 90.00
_cell_angle_gamma 120.00
loop_
_atom_site_label
_atom_site_type_symbol
_atom_site_fract_x
_atom_site_fract_y
_atom_site_fract_z
Tb1 Tb 0.0000 0.0000 0.0000
Dy1 Dy 0.1954 0.3907 0.2183
Ru1 Ru 0.0001 0.5001 0.4136
```